# GGA-PBEsol BeBiRhSe2, optimized geometry
data_BeBiRhSe2
_cell_length_a 4.7357
_cell_length_b 4.7357
_cell_length_c 4.1375
_cell_angle_alpha 90.00
_cell_angle_beta 90.00
_cell_angle_gamma 90.00
_symmetry_space_group_name_H-M 'P 4/m m m'
_symmetry_Int_Tables_number 123
_symmetry_space_group_name_Hall '-P 4 2'
loop_
_atom_site_label
_atom_site_type_symbol
_atom_site_fract_x
_atom_site_fract_y
_atom_site_fract_z
Be1 Be 0.0000 0.0000 0.0000
Bi1 Bi 0.5000 0.5000 0.5000
Rh1 Rh 0.0000 0.0000 0.5000
Se1 Se 0.0000 0.5000 0.0000
# DFT total energy: -22.8 eV per cell
# V: 18.56 Å³/atom
# Raw formation energy: 0.2728 eV per atom